# Sc2HgW

A relaxed Sc2HgW crystal (GGA-PBE, Alexandria).

abc: 4.170 4.170 19.593
angles: 90.00 90.00 90.00
Space group I-42d (No. 122)
One atom of each set of equivalent atoms:
Sc 0.238 0.250 0.125 [8 per cell]
Hg 0.000 0.000 0.500 [4 per cell]
W 0.000 0.000 0.000 [4 per cell]

Computed properties:
Density of states at the Fermi level, states/eV/f.u.: 4.32
Final energy, eV/atom: -5.76
Magnetic moment, μB per formula unit: 0.000